# CrHg3Sb

A PBEsol-optimized structure of CrHg3Sb (SCAN, Alexandria via LeMat-Bulk).

Cell lengths 5.5199, 5.5199, 5.5199 Å; angles 90.00, 90.00, 90.00 degrees
Closest atoms and distances in Å follow each position.
Space group Pm-3m (No. 221)
Asymmetric unit:
Cr  0.0000  0.0000  0.0000 (multiplicity 1)  12 Hg 3.90
Hg  0.0000  0.5000  0.5000 (multiplicity 3)  2 Sb 2.76
Sb  0.5000  0.5000  0.5000 (multiplicity 1)  6 Hg 2.76

Output
**Total magnetization**: 5.571 μB per formula unit
**Density**: 7657 kg/m3
**Energy relative to the elements, uncorrected**: 0.622 eV/atom